1.
# Bi3AsBr (SCAN, single point on PBEsol structure)
data_Bi3AsBr
_symmetry_space_group_name_H-M 'P m -3 m'
_symmetry_Int_Tables_number 221
_symmetry_space_group_name_Hall '-P 4 2 3'
_cell_length_a 5.5273
_cell_length_b 5.5273
_cell_length_c 5.5273
_cell_angle_alpha 90.00
_cell_angle_beta 90.00
_cell_angle_gamma 90.00
loop_
_atom_site_label
_atom_site_type_symbol
_atom_site_fract_x
_atom_site_fract_y
_atom_site_fract_z
_atom_site_occupancy
Bi1 Bi 0.0000 0.0000 0.5000 1
As1 As 0.0000 0.0000 0.0000 1
Br1 Br 0.5000 0.5000 0.5000 1
# magnetization = 0.0 μB per formula unit
# crystal system = cubic
# density of states at the Fermi level = 3.8 states/eV/cell
# VASP energy = -54.561 eV per atom


2.
# LiNiIr2 (SCAN, single point on PBEsol structure)
data_LiNiIr2
_symmetry_space_group_name_H-M 'C m m 2'
_symmetry_Int_Tables_number 35
_symmetry_space_group_name_Hall 'C 2 -2'
_cell_length_a 2.6536
_cell_length_b 4.5328
_cell_length_c 8.8332
_cell_angle_alpha 90.00
_cell_angle_beta 90.00
_cell_angle_gamma 90.00
loop_
_atom_site_label
_atom_site_type_symbol
_atom_site_fract_x
_atom_site_fract_y
_atom_site_fract_z
_atom_site_occupancy
Li1 Li 0.0000 0.0000 0.0000 1
Ni1 Ni 0.0000 0.5000 0.2418 1
Ir1 Ir 0.0000 0.0000 0.4814 1
Ir2 Ir 0.0000 0.5000 0.7477 1
# magnetization = 0.7 μB per formula unit
# crystal system = orthorhombic
# energy relative to the lowest polymorph listed for this composition = 324.6 meV per atom
# density of states at the Fermi level = 8.4 states/eV/cell


3.
# BaNa3Pb (SCAN, single point on PBEsol structure)
data_BaNa3Pb
_symmetry_space_group_name_H-M 'P m -3 m'
_symmetry_Int_Tables_number 221
_symmetry_space_group_name_Hall '-P 4 2 3'
_cell_length_a 6.1911
_cell_length_b 6.1911
_cell_length_c 6.1911
_cell_angle_alpha 90.00
_cell_angle_beta 90.00
_cell_angle_gamma 90.00
loop_
_atom_site_label
_atom_site_type_symbol
_atom_site_fract_x
_atom_site_fract_y
_atom_site_fract_z
_atom_site_occupancy
Ba1 Ba 0.0000 0.0000 0.0000 1
Na1 Na 0.0000 0.0000 0.5000 1
Pb1 Pb 0.5000 0.5000 0.5000 1
# magnetization = 0.8 μB per formula unit
# crystal system = cubic
# density of states at the Fermi level = 5.0 states/eV/cell
# VASP energy = -24.785 eV per atom


Computed density (Mg/m³) in order:
7.7, 14.1, 2.9